Here is Sr2VCuO5 after structural relaxation from Alexandria. Energies are from GGA+U.

Output
magnetization: 1.7 μB per formula unit
E: -6.439 eV/atom

extended XYZ file:
```
18
Lattice="1.6134 -7.3892 0.0000 1.6134 7.3892 0.0000 0.0000 0.0000 10.0879" Properties=species:S:1:pos:R:3 pbc="T T T"
Sr 1.6134 5.6065 5.0439
Sr 1.6134 5.5083 0.9243
Sr 1.6134 -5.5083 5.9682
Sr 1.6134 -5.6065 0.0000
V 1.6134 4.1384 8.1186
V 1.6134 -4.1384 3.0747
Cu 1.6134 0.6392 2.6103
Cu 1.6134 -0.6392 7.6543
O 1.6134 6.1965 8.4202
O 1.6134 3.1753 4.3665
O 1.6134 3.0255 1.7774
O 1.6134 2.3375 8.0851
O 1.6134 0.0297 0.8349
O 1.6134 -0.0297 5.8788
O 1.6134 -2.3375 3.0412
O 1.6134 -3.0255 6.8214
O 1.6134 -3.1753 9.4105
O 1.6134 -6.1965 3.3763
```